# 1
A plane-wave DFT calculation with PBE was carried out for Pm12Pd6Pb after structural relaxation.

Unit cell a=8.9413 b=8.9413 c=8.9413 alpha=108.93 beta=108.93 gamma=108.93
Positions (direct):
Pm1 0.0554 0.3517 0.1126
Pm2 0.1126 0.0554 0.3517
Pm3 0.1758 0.4693 0.6458
Pm4 0.3517 0.1126 0.0554
Pm5 0.3542 0.8242 0.5307
Pm6 0.4693 0.6458 0.1758
Pm7 0.5307 0.3542 0.8242
Pm8 0.6458 0.1758 0.4693
Pm9 0.6483 0.8874 0.9446
Pm10 0.8242 0.5307 0.3542
Pm11 0.8874 0.9446 0.6483
Pm12 0.9446 0.6483 0.8874
Pd1 0.1455 0.7873 0.7183
Pd2 0.2127 0.2817 0.8545
Pd3 0.2817 0.8545 0.2127
Pd4 0.7183 0.1455 0.7873
Pd5 0.7873 0.7183 0.1455
Pd6 0.8545 0.2127 0.2817
Pb1 0.5000 0.5000 0.5000

Energy relative to the lowest polymorph listed for this composition in meV/atom: 113.6
Formation energy in kJ/mol of formula units: -831
Volume in Å³/cell: 561
DOS at the Fermi energy in states/eV/cell: 17.50

# 2
A plane-wave DFT calculation with PBE was carried out for U5As5S after structural relaxation.

Unit cell a=7.0197 b=7.0197 c=7.9785 alpha=106.74 beta=106.74 gamma=47.60
Positions (direct):
U1 0.0000 0.0000 0.0000
U2 0.3365 0.3365 0.6702
U3 0.3393 0.3393 0.1666
U4 0.6607 0.6607 0.8334
U5 0.6635 0.6635 0.3298
As1 0.1650 0.1650 0.8284
As2 0.1692 0.1692 0.3357
As3 0.5000 0.5000 0.5000
As4 0.8308 0.8308 0.6643
As5 0.8350 0.8350 0.1716
S1 0.5000 0.5000 0.0000

Energy relative to the elements, uncorrected in eV/atom: -0.68
Volume in Å³/cell: 276
DOS at the Fermi energy in states/eV/cell: 28.75